This record from Alexandria via LeMat-Bulk describes a geometry-optimized Ba3HfCr2O9 structure. The functional is GGA+U.

Results
The magnetic moment comes out at 4.0 μB per cell. Its calculated volume is 200.2 Å³ per cell. The total energy comes out at -7.534 eV/atom.

Cell: 5.7288 5.7288 7.0422 Å, 90.00 90.00 120.00°
Space group P-3m1 (No. 164)
Inequivalent atoms, fractional coordinates:
Ba 0.0000 0.0000 0.0000 x1
Ba 0.3333 0.6667 0.6754 x2
Hf 0.0000 0.0000 0.5000 x1
Cr 0.3333 0.6667 0.1653 x2
O 0.0000 0.5000 0.0000 x3
O 0.1719 0.3438 0.3279 x6